Computed, not measured: crystalline CsCaCuPd2 at its relaxed geometry at the PBE level of DFT.

The space group is No. 123. Its uncorrected energy is -15.23 eV/f.u. The formation energy comes out at 0.421 eV/atom.

abc: 5.0115 5.3311 5.0115
angles: 90.00 90.00 90.00
Fractional coordinates of all 5 atoms:
Cs: 0.0000 0.5000 0.0000
Ca: 0.5000 0.5000 0.5000
Cu: 0.0000 0.0000 0.0000
Pd: 0.0000 0.0000 0.5000
Pd: 0.5000 0.0000 0.0000

=====

Computed, not measured: crystalline CsCaCuSe2 at its relaxed geometry at the PBE level of DFT.

The space group is No. 67. Its uncorrected energy is -19.65 eV/f.u. The calculation puts the uncorrected formation energy at -5.73 eV per formula unit.

abc: 5.7521 7.5669 8.7965
angles: 115.47 90.00 90.00
Fractional coordinates of all 10 atoms:
Cs: 0.2331 0.7500 0.5000
Cs: 0.7669 0.2500 0.5000
Ca: 0.5000 0.7500 0.0000
Ca: 0.5000 0.2500 0.0000
Cu: 0.0000 0.0000 0.0000
Cu: 0.0000 0.5000 0.0000
Se: 0.7360 0.8927 0.7855
Se: 0.7360 0.6073 0.2145
Se: 0.2640 0.3927 0.7855
Se: 0.2640 0.1073 0.2145

=====

Computed, not measured: crystalline Cs2CaDyF6 at its relaxed geometry at the PBE level of DFT.

The space group is No. 59. Its uncorrected energy is -52.10 eV/f.u. The calculation puts the uncorrected formation energy at -32.56 eV per formula unit.

abc: 6.8036 6.3612 9.2003
angles: 90.00 90.00 90.00
Site moments in Bohr magnetons follow the coordinates.
Fractional coordinates of all 20 atoms:
Cs: 0.5000 0.7691 0.2487  0.03
Cs: 0.0000 0.2309 0.7487  0.03
Cs: 0.5000 0.7691 0.7513  0.03
Cs: 0.0000 0.2309 0.2513  0.03
Ca: 0.0000 0.7389 0.5000  0.01
Ca: 0.5000 0.2611 0.0000  0.01
Dy: 0.5000 0.2699 0.5000  0.36
Dy: 0.0000 0.7301 0.0000  0.36
F: 0.5000 0.2567 0.2560  0.00
F: 0.5000 0.2567 0.7440  0.00
F: 0.0000 0.7433 0.2440  0.00
F: 0.0000 0.7433 0.7560  0.00
F: 0.2484 0.0006 0.5000  0.01
F: 0.7516 0.0006 0.5000  0.01
F: 0.2109 0.4519 0.5000  0.02
F: 0.7891 0.4519 0.5000  0.02
F: 0.7109 0.5481 0.0000  0.02
F: 0.2891 0.5481 0.0000  0.02
F: 0.2516 0.9994 0.0000  0.01
F: 0.7484 0.9994 0.0000  0.01

=====

Computed, not measured: crystalline CsCaDyF6 at its relaxed geometry at the PBE level of DFT.

The space group is No. 74. Its uncorrected energy is -52.48 eV/f.u. The calculation puts the uncorrected formation energy at -33.80 eV per formula unit.

abc: 8.1755 8.3668 8.3125
angles: 120.22 119.46 90.00
Site moments in Bohr magnetons follow the coordinates.
Fractional coordinates of all 18 atoms:
Cs: 0.9234 0.6734 0.8469  0.00
Cs: 0.0766 0.3266 0.1531  0.00
Ca: 0.5000 0.0000 0.5000  0.00
Ca: 0.0000 0.0000 0.5000  0.00
Dy: 0.5000 0.5000 0.0000  0.00
Dy: 0.5000 0.0000 0.0000  0.00
F: 0.4395 0.6895 0.8791  0.00
F: 0.8265 0.0765 0.6529  0.07
F: 0.8136 0.0639 0.2392  0.00
F: 0.4256 0.6753 0.2392  0.00
F: 0.4256 0.0639 0.2392  0.00
F: 0.8136 0.6753 0.2392  0.00
F: 0.5605 0.3105 0.1209  0.00
F: 0.1735 0.9235 0.3471  0.07
F: 0.1864 0.9361 0.7608  0.00
F: 0.5744 0.3247 0.7608  0.00
F: 0.5744 0.9361 0.7608  0.00
F: 0.1864 0.3247 0.7608  0.00

=====

Computed, not measured: crystalline CsCaDyI6 at its relaxed geometry at the PBE level of DFT.

The space group is No. 163. Its uncorrected energy is -30.45 eV/f.u. The calculation puts the uncorrected formation energy at -13.69 eV per formula unit.

abc: 8.0321 8.0321 17.2410
angles: 90.00 90.00 120.00
Fractional coordinates of all 18 atoms:
Cs: 0.0000 0.0000 0.0000
Cs: 0.0000 0.0000 0.5000
Ca: 0.3333 0.6667 0.2500
Ca: 0.6667 0.3333 0.7500
Dy: 0.6667 0.3333 0.2500
Dy: 0.3333 0.6667 0.7500
I: 0.6307 0.6210 0.1460
I: 0.9903 0.3693 0.1460
I: 0.3693 0.9903 0.6460
I: 0.0097 0.6307 0.8540
I: 0.3790 0.3693 0.3540
I: 0.9903 0.6210 0.3540
I: 0.6210 0.9903 0.8540
I: 0.6307 0.0097 0.3540
I: 0.0097 0.3790 0.6460
I: 0.3790 0.0097 0.1460
I: 0.6210 0.6307 0.6460
I: 0.3693 0.3790 0.8540

=====

Computed, not measured: crystalline CsCa2DyI8 at its relaxed geometry at the PBE level of DFT.

The space group is No. 2. Its uncorrected energy is -39.32 eV/f.u. The calculation puts the uncorrected formation energy at -17.46 eV per formula unit.

abc: 7.7091 7.3367 9.9609
angles: 89.90 89.93 88.99
Fractional coordinates of all 12 atoms:
Cs: 0.0000 0.0000 0.5000
Ca: 0.5001 0.4999 0.7497
Ca: 0.4999 0.5001 0.2503
Dy: 0.0000 0.0000 0.0000
I: 0.1637 0.7489 0.2064
I: 0.6718 0.7478 0.9998
I: 0.8351 0.2501 0.2061
I: 0.8363 0.2511 0.7936
I: 0.3282 0.2522 0.0002
I: 0.1649 0.7499 0.7939
I: 0.6069 0.7329 0.4995
I: 0.3931 0.2671 0.5005

=====

Computed, not measured: crystalline CsCaDyO3 at its relaxed geometry at the PBE level of DFT.

The space group is No. 11. Its uncorrected energy is -37.77 eV/f.u. The calculation puts the uncorrected formation energy at -15.44 eV per formula unit.

abc: 3.5501 10.3563 8.3588
angles: 97.41 90.00 90.00
Site moments in Bohr magnetons follow the coordinates.
Fractional coordinates of all 12 atoms:
Cs: 0.7500 0.8009 0.8294  0.00
Cs: 0.2500 0.1991 0.1706  0.00
Ca: 0.2500 0.1194 0.5823  0.00
Ca: 0.7500 0.8806 0.4177  0.00
Dy: 0.2500 0.5920 0.1437  0.00
Dy: 0.7500 0.4080 0.8563  0.00
O: 0.2500 0.8975 0.5822  0.07
O: 0.7500 0.7201 0.2049  0.00
O: 0.7500 0.4382 0.1148  0.00
O: 0.7500 0.1025 0.4178  0.07
O: 0.2500 0.5618 0.8852  0.00
O: 0.2500 0.2799 0.7951  0.00

=====

Computed, not measured: crystalline Cs3CaDy2S6 at its relaxed geometry at the PBE level of DFT.

The space group is No. 12. Its uncorrected energy is -58.27 eV/f.u. The calculation puts the uncorrected formation energy at -19.73 eV per formula unit.

abc: 7.1938 7.1938 8.3831
angles: 98.22 98.22 120.01
Fractional coordinates of all 12 atoms:
Cs: 0.1636 0.8364 0.5000
Cs: 0.8364 0.1636 0.5000
Cs: 0.5000 0.5000 0.5000
Ca: 0.0000 0.0000 0.0000
Dy: 0.3331 0.6669 0.0000
Dy: 0.6669 0.3331 0.0000
S: 0.9390 0.5937 0.8169
S: 0.7156 0.7156 0.1815
S: 0.0610 0.4063 0.1831
S: 0.5937 0.9390 0.8169
S: 0.2844 0.2844 0.8185
S: 0.4063 0.0610 0.1831

=====

Computed, not measured: crystalline CsCaErF6 at its relaxed geometry at the PBE level of DFT.

The space group is No. 74. Its uncorrected energy is -52.57 eV/f.u. The calculation puts the uncorrected formation energy at -33.92 eV per formula unit.

abc: 8.1413 8.2940 8.2587
angles: 120.14 119.53 90.00
Site moments in Bohr magnetons follow the coordinates.
Fractional coordinates of all 18 atoms:
Cs: 0.9171 0.6671 0.8342  0.00
Cs: 0.0829 0.3329 0.1658  0.00
Ca: 0.5000 0.0000 0.5000  0.00
Ca: 0.0000 0.0000 0.5000  0.00
Er: 0.5000 0.5000 0.0000  0.00
Er: 0.5000 0.0000 0.0000  0.00
F: 0.4420 0.6920 0.8841  0.00
F: 0.8292 0.0792 0.6584  0.07
F: 0.8119 0.0675 0.2406  0.00
F: 0.4287 0.6731 0.2406  0.00
F: 0.4287 0.0675 0.2406  0.00
F: 0.8119 0.6731 0.2406  0.00
F: 0.5580 0.3080 0.1159  0.00
F: 0.1708 0.9208 0.3416  0.07
F: 0.1881 0.9325 0.7594  0.00
F: 0.5713 0.3269 0.7594  0.00
F: 0.5713 0.9325 0.7594  0.00
F: 0.1881 0.3269 0.7594  0.00

=====

Computed, not measured: crystalline CsCa2ErI8 at its relaxed geometry at the PBE level of DFT.

The space group is No. 2. Its uncorrected energy is -39.20 eV/f.u. The calculation puts the uncorrected formation energy at -17.38 eV per formula unit.

abc: 7.6841 7.3182 9.9638
angles: 89.90 89.93 88.92
Fractional coordinates of all 12 atoms:
Cs: 0.0000 0.0000 0.5000
Ca: 0.5002 0.4999 0.7501
Ca: 0.4998 0.5001 0.2499
Er: 0.0000 0.0000 0.0000
I: 0.1631 0.7506 0.2053
I: 0.6730 0.7490 0.9998
I: 0.8357 0.2483 0.2050
I: 0.8369 0.2494 0.7947
I: 0.3270 0.2510 0.0002
I: 0.1643 0.7517 0.7950
I: 0.6067 0.7330 0.4995
I: 0.3933 0.2670 0.5005